1.
Material: Sr9CaSi6
Method: DFT, GGA-PBEsol
State: optimized geometry

Geometry as extended XYZ:
```
16
Lattice="-4.616 3.175 5.566 3.478 -4.521 5.463 5.922 6.285 -4.277" Properties=species:S:1:pos:R:3 pbc="T T T"
Sr 1.915 6.030 0.143
Sr 2.868 -1.091 6.609
Sr 1.789 0.706 3.122
Sr 0.000 0.000 0.000
Sr 0.093 1.115 8.605
Sr 2.994 4.233 3.629
Sr -0.985 2.913 5.118
Sr 5.769 2.027 1.633
Sr 4.690 3.824 -1.853
Si 0.289 -2.087 8.217
Si -1.427 0.741 2.812
Si 1.585 -2.379 3.938
Si -2.723 1.034 7.091
Si 2.115 2.142 6.135
Si 2.668 2.797 0.617
Ca -0.569 -0.673 5.514
```

## Properties
energy	-60.17	eV per cell
calculated density	3380	kg/m³
spin magnetization	0.0	μB per cell


2.
Material: LaScIn2
Method: DFT, GGA-PBEsol
State: optimized geometry

Geometry as extended XYZ:
```
4
Lattice="3.323 0.000 0.000 0.000 5.638 -0.054 0.000 -1.702 5.375" Properties=species:S:1:pos:R:3 pbc="T T T"
La 1.662 0.000 0.000
In 0.000 2.819 -0.027
In 0.000 -0.851 2.688
Sc 1.662 1.968 2.661
```

## Properties
formation enthalpy at 0 K	-0.4278	eV/atom
calculated density	6838	kg/m³
spin magnetization	0.0	μB per cell


> What is the spin magnetization in the first record?

0.0 μB per cell


> Look up the spin magnetization of the first one.

0.0 μB per cell


> Among the records above, which one has the highest calculated density?

LaScIn2